(P)
# Re2Ru (PBEsol, optimized geometry)
# Total moment ... 0.0 μB per formula unit
data_Re2Ru
_chemical_formula_sum 'Re4 Ru2'
_cell_length_a 2.733
_cell_length_b 5.153
_cell_length_c 6.439
_cell_angle_alpha 103.57
_cell_angle_beta 90.00
_cell_angle_gamma 105.38
_symmetry_space_group_name_H-M 'P 1'
_symmetry_Int_Tables_number 1
_symmetry_space_group_name_Hall 'P 1'
loop_
_atom_site_label
_atom_site_type_symbol
_atom_site_fract_x
_atom_site_fract_y
_atom_site_fract_z
_atom_site_occupancy
Re1 Re 0.390 0.779 0.280 1
Re2 Re 0.332 0.664 0.668 1
Re3 Re 0.665 0.331 0.334 1
Re4 Re 0.002 0.004 0.997 1
Ru1 Ru 0.722 0.443 0.945 1
Ru2 Ru 0.056 0.111 0.610 1

(Q)
# Re2Ru (PBEsol, optimized geometry)
# Total moment ... 0.0 μB per formula unit
data_Re2Ru
_chemical_formula_sum 'Re4 Ru2'
_cell_length_a 2.732
_cell_length_b 4.369
_cell_length_c 7.249
_cell_angle_alpha 90.00
_cell_angle_beta 100.86
_cell_angle_gamma 90.00
_symmetry_space_group_name_H-M 'P 1'
_symmetry_Int_Tables_number 1
_symmetry_space_group_name_Hall 'P 1'
loop_
_atom_site_label
_atom_site_type_symbol
_atom_site_fract_x
_atom_site_fract_y
_atom_site_fract_z
_atom_site_occupancy
Re1 Re 0.445 0.750 0.891 1
Re2 Re 0.223 0.250 0.447 1
Re3 Re 0.555 0.250 0.109 1
Re4 Re 0.777 0.750 0.553 1
Ru1 Ru 0.890 0.250 0.780 1
Ru2 Ru 0.110 0.750 0.220 1

So which one wins? Going from most stable to least: (P), (Q).

(P)
# LiAsPSe2 (PBEsol, optimized geometry)
# Total moment ... 0.0 μB per formula unit
data_LiAsPSe2
_chemical_formula_sum 'Li1 As1 P1 Se2'
_cell_length_a 4.696
_cell_length_b 4.891
_cell_length_c 4.891
_cell_angle_alpha 90.00
_cell_angle_beta 90.00
_cell_angle_gamma 90.00
_symmetry_space_group_name_H-M 'P 1'
_symmetry_Int_Tables_number 1
_symmetry_space_group_name_Hall 'P 1'
loop_
_atom_site_label
_atom_site_type_symbol
_atom_site_fract_x
_atom_site_fract_y
_atom_site_fract_z
_atom_site_occupancy
P1 P 0.000 0.000 0.000 1
Li1 Li 0.500 0.500 0.500 1
Se1 Se 0.000 0.500 0.000 1
Se2 Se 0.000 0.000 0.500 1
As1 As 0.500 0.000 0.000 1

(Q)
# LiAsPSe2 (PBEsol, optimized geometry)
# Total moment ... 0.0 μB per formula unit
data_LiAsPSe2
_chemical_formula_sum 'Li1 As1 P1 Se2'
_cell_length_a 4.163
_cell_length_b 4.666
_cell_length_c 4.666
_cell_angle_alpha 90.00
_cell_angle_beta 90.00
_cell_angle_gamma 90.00
_symmetry_space_group_name_H-M 'P 1'
_symmetry_Int_Tables_number 1
_symmetry_space_group_name_Hall 'P 1'
loop_
_atom_site_label
_atom_site_type_symbol
_atom_site_fract_x
_atom_site_fract_y
_atom_site_fract_z
_atom_site_occupancy
Li1 Li 0.000 0.000 0.000 1
Se1 Se 0.000 0.500 0.000 1
Se2 Se 0.000 0.000 0.500 1
P1 P 0.500 0.000 0.000 1
As1 As 0.500 0.500 0.500 1

So which one wins? Going from most stable to least: (P), (Q).

(P)
# Li5SbS (PBEsol, optimized geometry)
# Total moment ... 0.0 μB per formula unit
data_Li5SbS
_chemical_formula_sum 'Li20 Sb4 S4'
_cell_length_a 6.100
_cell_length_b 8.060
_cell_length_c 9.623
_cell_angle_alpha 90.00
_cell_angle_beta 90.00
_cell_angle_gamma 90.00
_symmetry_space_group_name_H-M 'P 1'
_symmetry_Int_Tables_number 1
_symmetry_space_group_name_Hall 'P 1'
loop_
_atom_site_label
_atom_site_type_symbol
_atom_site_fract_x
_atom_site_fract_y
_atom_site_fract_z
_atom_site_occupancy
S1 S 0.750 0.357 0.537 1
S2 S 0.250 0.857 0.963 1
S3 S 0.750 0.143 0.037 1
S4 S 0.250 0.643 0.463 1
Li1 Li 0.984 0.661 0.918 1
Li2 Li 0.993 0.552 0.629 1
Li3 Li 0.507 0.948 0.129 1
Li4 Li 0.507 0.552 0.629 1
Li5 Li 0.007 0.448 0.371 1
Li6 Li 0.016 0.339 0.082 1
Li7 Li 0.007 0.052 0.871 1
Li8 Li 0.516 0.661 0.918 1
Li9 Li 0.493 0.448 0.371 1
Li10 Li 0.493 0.052 0.871 1
Li11 Li 0.250 0.825 0.690 1
Li12 Li 0.750 0.175 0.310 1
Li13 Li 0.993 0.948 0.129 1
Li14 Li 0.750 0.325 0.810 1
Li15 Li 0.484 0.339 0.082 1
Li16 Li 0.016 0.161 0.582 1
Li17 Li 0.484 0.161 0.582 1
Li18 Li 0.516 0.839 0.418 1
Li19 Li 0.984 0.839 0.418 1
Li20 Li 0.250 0.675 0.190 1
Sb1 Sb 0.750 0.867 0.675 1
Sb2 Sb 0.250 0.367 0.825 1
Sb3 Sb 0.250 0.133 0.325 1
Sb4 Sb 0.750 0.633 0.175 1

(Q)
# Li5SbS (PBEsol, optimized geometry)
# Total moment ... 0.0 μB per formula unit
data_Li5SbS
_chemical_formula_sum 'Li5 Sb1 S1'
_cell_length_a 4.259
_cell_length_b 4.259
_cell_length_c 6.323
_cell_angle_alpha 90.00
_cell_angle_beta 90.00
_cell_angle_gamma 90.00
_symmetry_space_group_name_H-M 'P 1'
_symmetry_Int_Tables_number 1
_symmetry_space_group_name_Hall 'P 1'
loop_
_atom_site_label
_atom_site_type_symbol
_atom_site_fract_x
_atom_site_fract_y
_atom_site_fract_z
_atom_site_occupancy
Sb1 Sb 0.500 0.500 0.500 1
Li1 Li 0.000 0.000 0.500 1
Li2 Li 0.000 0.500 0.787 1
Li3 Li 0.500 0.000 0.213 1
Li4 Li 0.000 0.500 0.213 1
Li5 Li 0.500 0.000 0.787 1
S1 S 0.000 0.000 0.000 1

So which one wins? Going from most stable to least: (Q), (P).